1.
Density functional theory data (PBE-GGA) for an optimized crystal structure of La3SmHo2.

Geometry as POSCAR:
```
La3SmHo2
1.0
5.165 -3.623 0.000
5.165 3.623 0.000
-5.163 0.000 10.997
La Sm Ho
6 2 4
Cartesian
-1.289 0.906 6.414
1.292 2.712 8.248
1.293 -0.906 0.915
3.873 0.906 10.082
3.874 -2.712 2.749
6.455 -0.906 4.584
3.874 0.908 2.749
1.292 -0.908 8.248
-1.288 0.903 10.100
1.293 -0.903 4.601
3.873 0.903 6.396
6.454 -0.903 0.897
```

Results
Energy relative to the lowest polymorph listed for this composition = 0.00 eV/f.u.
ΔH_f (0 K) = 0.02 eV per atom
Density = 7.2 g/cm³
VASP energy = -4.76 eV per atom



2.
Density functional theory data (PBE-GGA) for an optimized crystal structure of LaSm6Ho6.

Geometry as POSCAR:
```
LaSm6Ho6
1.0
6.624 0.000 0.000
0.000 11.186 0.000
-2.875 0.000 6.003
La Sm Ho
1 6 6
Cartesian
0.000 0.000 0.000
0.000 3.773 0.000
0.000 7.413 0.000
-0.309 5.593 4.430
0.438 0.000 3.705
3.311 0.000 2.298
4.058 5.593 1.574
-1.437 2.617 3.002
-1.437 8.569 3.002
3.312 2.463 0.000
1.875 3.356 3.002
1.875 7.830 3.002
3.312 8.723 0.000
```

Results
ΔH_f (0 K) = 0.21 eV per atom
Density = 7.6 g/cm³
VASP energy = -4.46 eV per atom